# Ti2BiBr PBE-GGA relaxed
# polymorph energy (0 for the lowest one)	0	kJ/mol of formula units
# total energy	-5.3729	eV/atom
# V	323.4	Å³ per cell
# size of the total moment	0.0	μB per formula unit
# crystal system	cubic
data_Ti2BiBr
_chemical_formula_sum 'Ti8 Bi4 Br4'
_symmetry_space_group_name_H-M 'F m -3 m'
_symmetry_Int_Tables_number 225
_symmetry_space_group_name_Hall '-F 4 2 3'
_cell_length_a 6.864
_cell_length_b 6.864
_cell_length_c 6.864
_cell_angle_alpha 90.00
_cell_angle_beta 90.00
_cell_angle_gamma 90.00
loop_
_atom_site_label
_atom_site_type_symbol
_atom_site_fract_x
_atom_site_fract_y
_atom_site_fract_z
Ti1 Ti 0.250 0.250 0.250
Bi1 Bi 0.000 0.000 0.000
Br1 Br 0.000 0.000 0.500

=====

# K2LaSbO4 PBE-GGA relaxed
# total energy	-5.8229	eV/atom
# V	564.6	Å³ per cell
# size of the total moment	0.0	μB per formula unit
# crystal system	orthorhombic
data_K2LaSbO4
_chemical_formula_sum 'K8 La4 Sb4 O16'
_symmetry_space_group_name_H-M 'I m m a'
_symmetry_Int_Tables_number 74
_symmetry_space_group_name_Hall '-I 2b 2'
_cell_length_a 7.285
_cell_length_b 7.473
_cell_length_c 10.371
_cell_angle_alpha 90.00
_cell_angle_beta 90.00
_cell_angle_gamma 90.00
loop_
_atom_site_label
_atom_site_type_symbol
_atom_site_fract_x
_atom_site_fract_y
_atom_site_fract_z
K1 K 0.000 0.000 0.000
K2 K 0.250 0.250 0.250
La1 La 0.000 0.000 0.500
Sb1 Sb 0.250 0.250 0.750
O1 O 0.000 0.035 0.735
O2 O 0.216 0.250 0.521

=====

# Zn2Ge2Sb PBE-GGA relaxed
# polymorph energy (0 for the lowest one)	8	kJ/mol of formula units
# total energy	-2.9530	eV/atom
# V	201.6	Å³ per cell
# size of the total moment	0.0	μB per formula unit
# crystal system	tetragonal
data_Zn2Ge2Sb
_chemical_formula_sum 'Zn4 Ge4 Sb2'
_symmetry_space_group_name_H-M 'I 4/m m m'
_symmetry_Int_Tables_number 139
_symmetry_space_group_name_Hall '-I 4 2'
_cell_length_a 4.115
_cell_length_b 4.115
_cell_length_c 11.904
_cell_angle_alpha 90.00
_cell_angle_beta 90.00
_cell_angle_gamma 90.00
loop_
_atom_site_label
_atom_site_type_symbol
_atom_site_fract_x
_atom_site_fract_y
_atom_site_fract_z
Zn1 Zn 0.000 0.000 0.103
Ge1 Ge 0.000 0.500 0.250
Sb1 Sb 0.000 0.000 0.500

=====

# Dy3CdP2Rh9 PBE-GGA relaxed
# total energy	-6.6771	eV/atom
# V	301.5	Å³ per cell
# size of the total moment	0.0	μB per formula unit
# crystal system	trigonal
data_Dy3CdP2Rh9
_chemical_formula_sum 'Dy3 Cd1 P2 Rh9'
_symmetry_space_group_name_H-M 'P -3 m 1'
_symmetry_Int_Tables_number 164
_symmetry_space_group_name_Hall '-P 3 2"'
_cell_length_a 6.0214
_cell_length_b 6.0214
_cell_length_c 9.6013
_cell_angle_alpha 90.00
_cell_angle_beta 90.00
_cell_angle_gamma 120.00
loop_
_atom_site_label
_atom_site_type_symbol
_atom_site_fract_x
_atom_site_fract_y
_atom_site_fract_z
Dy1 Dy 0.0000 0.0000 0.0000
Dy2 Dy 0.3333 0.6667 0.7349
Cd1 Cd 0.0000 0.0000 0.5000
P1 P 0.3333 0.6667 0.1571
Rh1 Rh 0.0000 0.5000 0.0000
Rh2 Rh 0.1476 0.2952 0.2580

=====

# YCu2Te PBE-GGA relaxed
# total energy	-4.5497	eV/atom
# V	333.9	Å³ per cell
# size of the total moment	0.0	μB per formula unit
# crystal system	cubic
data_YCu2Te
_chemical_formula_sum 'Y4 Cu8 Te4'
_symmetry_space_group_name_H-M 'F -4 3 m'
_symmetry_Int_Tables_number 216
_symmetry_space_group_name_Hall 'F -4 2 3'
_cell_length_a 6.938
_cell_length_b 6.938
_cell_length_c 6.938
_cell_angle_alpha 90.00
_cell_angle_beta 90.00
_cell_angle_gamma 90.00
loop_
_atom_site_label
_atom_site_type_symbol
_atom_site_fract_x
_atom_site_fract_y
_atom_site_fract_z
Y1 Y 0.000 0.000 0.000
Cu1 Cu 0.000 0.000 0.500
Cu2 Cu 0.250 0.250 0.250
Te1 Te 0.250 0.250 0.750

=====

# LaCeMgCd PBE-GGA relaxed
# total energy	-3.4417	eV/atom
# V	472.5	Å³ per cell
# size of the total moment	1.3	μB per formula unit
# crystal system	cubic
data_LaCeMgCd
_chemical_formula_sum 'La4 Ce4 Mg4 Cd4'
_symmetry_space_group_name_H-M 'F -4 3 m'
_symmetry_Int_Tables_number 216
_symmetry_space_group_name_Hall 'F -4 2 3'
_cell_length_a 7.789
_cell_length_b 7.789
_cell_length_c 7.789
_cell_angle_alpha 90.00
_cell_angle_beta 90.00
_cell_angle_gamma 90.00
loop_
_atom_site_label
_atom_site_type_symbol
_atom_site_fract_x
_atom_site_fract_y
_atom_site_fract_z
La1 La 0.000 0.000 0.000
Ce1 Ce 0.000 0.000 0.500
Mg1 Mg 0.250 0.250 0.750
Cd1 Cd 0.250 0.250 0.250

=====

# BaTe4Pb PBE-GGA relaxed
# total energy	-3.2446	eV/atom
# V	806.7	Å³ per cell
# size of the total moment	0.7	μB per formula unit
# crystal system	cubic
data_BaTe4Pb
_chemical_formula_sum 'Ba4 Te16 Pb4'
_symmetry_space_group_name_H-M 'F -4 3 m'
_symmetry_Int_Tables_number 216
_symmetry_space_group_name_Hall 'F -4 2 3'
_cell_length_a 9.309
_cell_length_b 9.309
_cell_length_c 9.309
_cell_angle_alpha 90.00
_cell_angle_beta 90.00
_cell_angle_gamma 90.00
loop_
_atom_site_label
_atom_site_type_symbol
_atom_site_fract_x
_atom_site_fract_y
_atom_site_fract_z
Ba1 Ba 0.000 0.000 0.000
Te1 Te 0.125 0.125 0.375
Pb1 Pb 0.250 0.250 0.750

=====

Among the records above, which one has the lowest total energy?
Dy3CdP2Rh9

=====

Which of these has the highest size of the total moment?
LaCeMgCd